# 1
Material: LiTm3Tl4
Method: DFT, PBE
State: relaxed

Values from the calculation:
total energy	-3.27	eV/atom
calculated density	10.32	Mg/m³
spin magnetization	0.000	μB/f.u.
polymorph energy (0 for the lowest one)	95	kJ/mol of formula units
crystal system	orthorhombic
energy relative to the elements	-0.17	eV/atom

CIF file:
```
data_LiTm3Tl4
_space_group_name_H-M_alt 'I m m m'
_space_group_IT_number 71
_space_group_name_Hall '-I 2 2'
_cell_length_a 3.4440
_cell_length_b 9.4960
_cell_length_c 13.0948
_cell_angle_alpha 90.00
_cell_angle_beta 90.00
_cell_angle_gamma 90.00
loop_
_atom_site_label
_atom_site_type_symbol
_atom_site_fract_x
_atom_site_fract_y
_atom_site_fract_z
Li1 Li 0.0000 0.0000 0.0000
Tm1 Tm 0.0000 0.0000 0.5000
Tm2 Tm 0.0000 0.5000 0.2722
Tl1 Tl 0.0000 0.2478 0.1227
```

=====

# 2
Material: TbY12Er6
Method: DFT, PBE
State: relaxed

Values from the calculation:
total energy	-5.61	eV/atom
calculated density	5.98	Mg/m³
spin magnetization	0.027	μB/f.u.
polymorph energy (0 for the lowest one)	0	kJ/mol of formula units
crystal system	trigonal
energy relative to the elements	0.15	eV/atom

CIF file:
```
data_TbY12Er6
_space_group_name_H-M_alt 'R -3'
_space_group_IT_number 148
_space_group_name_Hall '-R 3'
_cell_length_a 11.8370
_cell_length_b 11.8370
_cell_length_c 15.3069
_cell_angle_alpha 90.00
_cell_angle_beta 90.00
_cell_angle_gamma 120.00
loop_
_atom_site_label
_atom_site_type_symbol
_atom_site_fract_x
_atom_site_fract_y
_atom_site_fract_z
Tb1 Tb 0.0000 0.0000 0.0000
Y1 Y 0.0114 0.1801 0.1906
Y2 Y 0.0423 0.1918 0.4149
Er1 Er 0.0127 0.5875 0.6808
```

=====

# 3
Material: AlP2
Method: DFT, PBE
State: relaxed

Values from the calculation:
total energy	-4.86	eV/atom
calculated density	3.12	Mg/m³
spin magnetization	0.000	μB/f.u.
crystal system	tetragonal
energy relative to the elements	0.00	eV/atom

CIF file:
```
data_AlP2
_space_group_name_H-M_alt 'I 4/m c m'
_space_group_IT_number 140
_space_group_name_Hall '-I 4 2c'
_cell_length_a 5.2904
_cell_length_b 5.2904
_cell_length_c 6.7647
_cell_angle_alpha 90.00
_cell_angle_beta 90.00
_cell_angle_gamma 90.00
loop_
_atom_site_label
_atom_site_type_symbol
_atom_site_fract_x
_atom_site_fract_y
_atom_site_fract_z
Al1 Al 0.0000 0.0000 0.2500
P1 P 0.1493 0.3507 0.0000
```

=====

# 4
Material: Ce2TmTl4
Method: DFT, PBE
State: relaxed

Values from the calculation:
total energy	-3.55	eV/atom
calculated density	9.32	Mg/m³
spin magnetization	2.544	μB/f.u.
polymorph energy (0 for the lowest one)	171	kJ/mol of formula units
crystal system	orthorhombic
energy relative to the elements	0.14	eV/atom

CIF file:
```
data_Ce2TmTl4
_space_group_name_H-M_alt 'C m m m'
_space_group_IT_number 65
_space_group_name_Hall '-C 2 2'
_cell_length_a 6.4625
_cell_length_b 13.8311
_cell_length_c 5.0497
_cell_angle_alpha 90.00
_cell_angle_beta 90.00
_cell_angle_gamma 90.00
loop_
_atom_site_label
_atom_site_type_symbol
_atom_site_fract_x
_atom_site_fract_y
_atom_site_fract_z
Ce1 Ce 0.0000 0.1017 0.0000
Tm1 Tm 0.0000 0.5000 0.5000
Tl1 Tl 0.0000 0.2467 0.5000
Tl2 Tl 0.0000 0.3729 0.0000
```